## Cs2ZnAgO (PBE-GGA)

Data for an optimized crystal structure of Cs2ZnAgO.

* energy relative to the elements, uncorrected: 0.7 eV per formula unit
* DOS(E_F): 1.018 states/eV/atom

Cell lengths 6.6469, 6.6469, 5.0211 Å; angles 90.00, 90.00, 90.00 degrees
With the nearest neighbours (Å) after each atom.
Fractional coordinates of all 5 atoms:
Cs 0.0000 0.5000 0.0000  2 Ag 3.32
Cs 0.5000 0.0000 0.0000  2 Ag 3.32
Zn 0.0000 0.0000 0.5000  2 Ag 2.51
Ag 0.0000 0.0000 0.0000  2 Zn 2.51
O 0.5000 0.5000 0.5000  8 Cs 4.17

***

## CaSnPb2 (PBE-GGA)

Data for an optimized crystal structure of CaSnPb2.

* energy relative to the elements: 70 meV per atom
* DOS(E_F): 0.598 states/eV/atom

Cell lengths 3.6324, 3.6324, 35.1955 Å; angles 90.00, 90.00, 120.00 degrees
With the nearest neighbours (Å) after each atom.
Fractional coordinates of all 12 atoms:
Ca 0.0000 0.0000 0.0000  2 Pb 3.25, 6 Ca 3.63
Ca 0.3333 0.6667 0.6667  2 Pb 3.25, 6 Ca 3.63
Ca 0.6667 0.3333 0.3333  2 Pb 3.25, 6 Ca 3.63
Sn 0.0000 0.0000 0.5000  6 Pb 3.35, 6 Sn 3.63
Sn 0.3333 0.6667 0.1667  6 Pb 3.35, 6 Sn 3.63
Sn 0.6667 0.3333 0.8333  6 Pb 3.35, 6 Sn 3.63
Pb 0.0000 0.0000 0.0924  1 Ca 3.25, 3 Sn 3.35, 6 Pb 3.63
Pb 0.0000 0.0000 0.9076  1 Ca 3.25, 3 Sn 3.35, 6 Pb 3.63
Pb 0.3333 0.6667 0.5743  1 Ca 3.25, 3 Sn 3.35, 6 Pb 3.63
Pb 0.3333 0.6667 0.7591  1 Ca 3.25, 3 Sn 3.35, 6 Pb 3.63
Pb 0.6667 0.3333 0.2409  1 Ca 3.25, 3 Sn 3.35, 6 Pb 3.63
Pb 0.6667 0.3333 0.4257  1 Ca 3.25, 3 Sn 3.35, 6 Pb 3.63

***

## CaTm2Tl3 (PBE-GGA)

Data for an optimized crystal structure of CaTm2Tl3.

* energy relative to the elements: -346 meV per atom
* DOS(E_F): 0.513 states/eV/atom

Cell lengths 3.7777, 3.7777, 11.5277 Å; angles 90.00, 90.00, 90.00 degrees
With the nearest neighbours (Å) after each atom.
Fractional coordinates of all 6 atoms:
Ca 0.0000 0.0000 0.0000  8 Tl 3.35
Tm 0.0000 0.0000 0.3361  8 Tl 3.25-3.27
Tm 0.0000 0.0000 0.6639  8 Tl 3.25-3.27
Tl 0.5000 0.5000 0.1756  4 Tm 3.25, 4 Ca 3.35
Tl 0.5000 0.5000 0.5000  8 Tm 3.27
Tl 0.5000 0.5000 0.8244  4 Tm 3.25, 4 Ca 3.35

***

Which of these has the lowest DOS(E_F)?
CaTm2Tl3

***

What is the DOS(E_F) in the second record?
0.598 states/eV/atom